[1]
6
Lattice="3.769 0.000 0.000 0.000 3.769 0.000 0.000 0.000 11.239" Properties=species:S:1:pos:R:3 comment="Pm3CdAg2, relaxed, DFT PBE" ef_ev_per_atom=-0.288 volume_a3_per_atom=26.60 pbc="T T T"
Pm 0.000 0.000 7.554
Pm 0.000 0.000 3.686
Pm 0.000 0.000 0.000
Cd 1.884 1.884 5.620
Ag 1.884 1.884 1.854
Ag 1.884 1.884 9.385

[2]
7
Lattice="-0.793 0.954 -5.314 2.810 -3.811 -1.104 -9.996 -5.241 3.353" Properties=species:S:1:pos:R:3 comment="K3Tl2Bi2, relaxed, DFT PBE" ef_ev_per_atom=-0.228 volume_a3_per_atom=42.42 pbc="T T T"
Tl -0.183 -2.313 -3.189
Tl -7.796 -5.786 0.125
Bi -4.966 -6.633 -0.450
Bi -3.013 -1.465 -2.615
K 0.000 0.000 0.000
K -6.026 -3.700 -2.567
K -1.953 -4.398 -0.498

[3]
32
Lattice="12.853 -0.012 -0.331 11.460 5.819 -0.331 6.703 1.601 12.209" Properties=species:S:1:pos:R:3 comment="K3Nb2Ag3S8, relaxed, DFT PBE" e_form_raw_mev_per_atom=-884 volume_a3_per_atom=29.02 pbc="T T T"
S 11.927 3.105 1.574
S 17.892 4.466 0.827
S 12.972 0.711 4.423
S 15.773 1.380 1.019
S 18.045 6.698 7.124
S 15.244 6.029 10.528
S 15.623 3.988 3.869
S 9.687 2.506 4.615
S 15.394 3.421 7.678
S 19.090 4.304 9.974
S 5.862 1.993 3.769
S 13.125 2.943 10.720
S 21.330 4.903 6.932
S 25.155 5.415 7.778
S 21.535 5.737 1.673
S 9.482 1.672 9.874
Nb 14.044 4.462 9.271
Nb 11.192 1.566 3.166
Nb 16.973 2.947 2.276
Nb 19.824 5.843 8.381
K 19.457 5.338 4.315
K 11.560 2.071 7.232
K 7.896 2.576 1.128
K 23.120 4.832 10.419
K 0.000 0.000 0.000
K 3.352 0.801 6.105
Ag 16.948 5.093 8.826
Ag 10.543 4.499 3.281
Ag 14.790 1.552 9.386
Ag 16.227 5.856 2.161
Ag 20.474 2.910 8.266
Ag 14.069 2.316 2.721

[4]
8
Lattice="13.976 0.000 0.000 0.000 13.976 0.000 6.988 6.988 2.534" Properties=species:S:1:pos:R:3 comment="Cs2VGa, relaxed, DFT PBE" ef_ev_per_atom=0.721 volume_a3_per_atom=61.86 pbc="T T T"
Cs 7.024 3.494 0.633
Cs 6.952 10.482 0.633
Cs 17.470 14.012 1.900
Cs 10.482 13.940 1.900
Ga 13.976 6.988 1.267
Ga 0.000 0.000 0.000
V 6.988 6.988 0.000
V 6.988 13.976 1.267

[5]
10
Lattice="-3.743 -1.676 0.441 0.278 -2.055 -5.447 6.034 -6.820 5.999" Properties=species:S:1:pos:R:3 comment="DyY4As5, relaxed, DFT PBE" ef_ev_per_atom=-1.554 volume_a3_per_atom=24.77 pbc="T T T"
As 0.139 -1.028 -2.724
As 0.710 -6.049 2.318
As 3.583 -7.980 0.075
As -1.013 -2.571 0.918
As 1.860 -4.502 -1.325
Y 3.441 -6.948 2.797
Y 1.720 -3.473 1.398
Y -0.872 -3.603 -1.804
Y 0.849 -7.078 -0.405
Dy 0.000 0.000 0.000

[6]
9
Lattice="3.928 0.000 0.000 0.000 3.928 0.000 0.000 0.000 11.788" Properties=species:S:1:pos:R:3 comment="CeErGe2Rh5, relaxed, DFT PBE" ef_ev_per_atom=-0.401 volume_a3_per_atom=20.20 pbc="T T T"
Er 1.964 1.964 5.894
Rh 0.000 0.000 5.894
Rh 1.964 0.000 2.007
Rh 0.000 1.964 2.007
Rh 1.964 0.000 9.781
Rh 0.000 1.964 9.781
Ce 0.000 0.000 0.000
Ge 0.000 0.000 3.503
Ge 0.000 0.000 8.285